Below is a geometry-optimized YScSe3 structure, with properties calculated at the GGA-PBE level.

Calculated values
DOS(E_F): 0.00 states/eV per cell
formation energy from raw total energies: -1597.8 meV per atom
SG: P2_1/m (11)

```
YScSe3
1.0
-3.722 -3.864 -2.332
1.641 -4.877 5.461
-2.802 4.556 4.911
Y Sc Se
2 2 6
Direct
0.596 0.250 0.499
0.404 0.750 0.501
0.968 0.250 0.094
0.032 0.750 0.906
0.335 0.503 0.178
0.665 0.497 0.822
0.335 0.997 0.178
0.665 0.003 0.822
0.045 0.250 0.463
0.955 0.750 0.537
```